1.
! Pm4Dy3Sc2, relaxed, DFT PBE-GGA; values from VASP
! Relative energy among the computed polymorphs = 0 meV/atom
! Density of states at the Fermi level = 11.8 states/eV per cell
! Energy of formation = 0.38 eV per formula unit
&SYSTEM
  ibrav = 0, nat = 9, ntyp = 3
/
ATOMIC_SPECIES
Pm 145.00 Pm.upf
Dy 162.50 Dy.upf
Sc 44.96 Sc.upf
CELL_PARAMETERS angstrom
7.675 -1.766 0.000
7.675 1.766 0.000
-2.336 0.000 10.285
ATOMIC_POSITIONS crystal
Pm 0.005 0.005 0.331
Pm 0.331 0.331 0.112
Pm 0.669 0.669 0.888
Pm 0.995 0.995 0.669
Dy 0.000 0.000 0.000
Dy 0.330 0.330 0.441
Dy 0.670 0.670 0.559
Sc 0.333 0.333 0.777
Sc 0.667 0.667 0.223

2.
! Pm6Dy5Sc, relaxed, DFT PBE-GGA; values from VASP
! Density of states at the Fermi level = 16.1 states/eV per cell
! Energy of formation = 0.30 eV per formula unit
&SYSTEM
  ibrav = 0, nat = 12, ntyp = 3
/
ATOMIC_SPECIES
Pm 145.00 Pm.upf
Dy 162.50 Dy.upf
Sc 44.96 Sc.upf
CELL_PARAMETERS angstrom
-2.537 5.016 7.602
2.537 -5.016 7.602
2.537 5.016 -7.602
ATOMIC_POSITIONS crystal
Pm 0.082 0.334 0.748
Pm 0.246 0.000 0.246
Pm 0.413 0.666 0.748
Pm 0.587 0.334 0.252
Pm 0.754 0.000 0.754
Pm 0.918 0.666 0.252
Dy 0.165 0.165 0.000
Dy 0.334 0.834 0.500
Dy 0.500 0.500 0.000
Dy 0.666 0.166 0.500
Dy 0.835 0.835 0.000
Sc 0.000 0.500 0.500